Here is an optimized crystal structure of TbPrSmCu from the Alexandria database. Energies are from PBE-GGA.

a = 3.577 Å, b = 3.577 Å, c = 8.777 Å
α = 90.00°, β = 90.00°, γ = 90.00°
Fractional coordinates of all 4 atoms:
Tb 0.000 0.000 0.000
Pr 0.500 0.500 0.695
Sm 0.000 0.000 0.385
Cu 0.500 0.500 0.184

Computed properties:
N(E_F)	0.97	states/eV/atom
energy relative to the elements	-0.0848	eV/atom
space-group type	P4mm